Below is Sm2ZnHg at its PBEsol-relaxed geometry, with properties calculated at the meta-GGA SCAN level.

The calculation puts the total magnetization at 0.55 μB per formula unit. Its calculated volume is 24.42 A^3/atom. As for the formation energy: -532 meV per atom. The total energy comes out at -43.173 eV/atom.

The structure belongs to space group Fm-3m (No. 225); the cell edges are 7.310, 7.310 and 7.310 Å and the angles 90.00°, 90.00° and 90.00°. The asymmetric unit holds Sm at (0.250, 0.250, 0.250), Zn at (0.000, 0.000, 0.000) and Hg at (0.000, 0.000, 0.500).